PBE-GGA HfNp2ZnN5, optimized geometry; crystal system = orthorhombic; calculated volume = 12.28 Å³ per atom
1.0
1.643 -6.592 0.000
1.643 6.592 0.000
0.000 0.000 10.202
Hf Np Zn N
2 4 2 10
Direct
0.201 0.799 0.500
0.799 0.201 0.000
0.114 0.886 0.181
0.133 0.867 0.791
0.867 0.133 0.291
0.886 0.114 0.681
0.486 0.514 0.977
0.514 0.486 0.477
0.049 0.951 0.576
0.288 0.712 0.158
0.302 0.698 0.859
0.360 0.640 0.524
0.490 0.510 0.282
0.510 0.490 0.782
0.640 0.360 0.024
0.698 0.302 0.359
0.712 0.288 0.658
0.951 0.049 0.076

---

PBE-GGA HfZrNp2N4, optimized geometry; crystal system = monoclinic; calculated volume = 13.14 Å³ per atom
1.0
5.727 0.000 0.000
0.000 3.298 0.000
-1.904 0.000 5.564
Hf Zr Np N
1 1 2 4
Direct
0.000 0.000 0.000
0.500 0.500 0.000
0.000 0.500 0.500
0.500 0.000 0.500
0.237 0.500 0.228
0.250 0.000 0.768
0.750 0.000 0.232
0.763 0.500 0.772

---

PBE-GGA HfZr2NpN4, optimized geometry; crystal system = monoclinic; calculated volume = 12.61 Å³ per atom
1.0
5.685 0.000 0.000
0.000 3.280 0.000
-1.878 0.000 5.410
Hf Zr Np N
1 2 1 4
Direct
0.000 0.000 0.000
0.500 0.000 0.500
0.500 0.500 0.000
0.000 0.500 0.500
0.243 0.500 0.240
0.251 0.000 0.760
0.749 0.000 0.240
0.757 0.500 0.760

---

PBE-GGA HfZr2Np3N6, optimized geometry; crystal system = monoclinic; calculated volume = 13.18 Å³ per atom
1.0
2.872 -4.972 0.000
2.872 4.972 0.000
-1.913 0.000 5.539
Hf Zr Np N
1 2 3 6
Direct
0.000 0.000 0.000
0.333 0.667 0.000
0.667 0.333 0.000
0.168 0.832 0.500
0.500 0.500 0.500
0.832 0.168 0.500
0.077 0.404 0.232
0.248 0.248 0.765
0.404 0.077 0.232
0.596 0.923 0.768
0.752 0.752 0.235
0.923 0.596 0.768

---

PBE-GGA Hf2ZrNp3N6, optimized geometry; crystal system = monoclinic; calculated volume = 13.07 Å³ per atom
1.0
2.853 -4.940 0.000
2.853 4.940 0.000
-1.901 0.000 5.564
Hf Zr Np N
2 1 3 6
Direct
0.167 0.833 0.000
0.833 0.167 0.000
0.500 0.500 0.000
0.000 0.000 0.500
0.335 0.665 0.500
0.665 0.335 0.500
0.084 0.424 0.771
0.235 0.235 0.227
0.424 0.084 0.771
0.576 0.916 0.229
0.765 0.765 0.773
0.916 0.576 0.229

---

PBE-GGA Hf2Zr3NpN6, optimized geometry; crystal system = monoclinic; calculated volume = 12.42 Å³ per atom
1.0
2.842 -4.913 0.000
2.842 4.913 0.000
-1.903 0.000 5.336
Hf Zr Np N
2 3 1 6
Direct
0.167 0.833 0.000
0.833 0.167 0.000
0.000 0.000 0.500
0.331 0.669 0.500
0.669 0.331 0.500
0.500 0.500 0.000
0.079 0.419 0.757
0.240 0.240 0.243
0.419 0.079 0.757
0.581 0.921 0.243
0.760 0.760 0.757
0.921 0.581 0.243

---

PBE-GGA Hf2N2O, optimized geometry; crystal system = monoclinic; calculated volume = 12.05 Å³ per atom
1.0
8.116 0.000 0.000
0.000 3.270 0.000
-2.111 0.000 13.618
Hf N O
12 12 6
Direct
0.000 0.000 0.000
0.003 0.000 0.713
0.007 0.500 0.216
0.272 0.500 0.873
0.317 0.000 0.381
0.339 0.500 0.612
0.367 0.000 0.112
0.630 0.500 0.976
0.642 0.000 0.774
0.646 0.500 0.277
0.705 0.500 0.567
0.959 0.000 0.428
0.097 0.000 0.867
0.118 0.500 0.367
0.144 0.000 0.176
0.170 0.500 0.708
0.436 0.000 0.968
0.478 0.000 0.277
0.498 0.500 0.809
0.520 0.000 0.621
0.761 0.000 0.923
0.808 0.500 0.722
0.833 0.000 0.261
0.865 0.000 0.562
0.198 0.500 0.026
0.203 0.000 0.525
0.450 0.500 0.454
0.539 0.500 0.124
0.784 0.500 0.417
0.882 0.500 0.066

---

PBE-GGA Hf2N2O, optimized geometry; crystal system = monoclinic; calculated volume = 12.05 Å³ per atom
1.0
6.868 -1.634 0.000
6.868 1.634 0.000
-1.435 0.000 8.052
Hf N O
6 6 3
Direct
0.000 0.000 0.000
0.054 0.054 0.657
0.332 0.332 0.613
0.389 0.389 0.262
0.663 0.663 0.336
0.729 0.729 0.950
0.159 0.159 0.488
0.525 0.525 0.167
0.575 0.575 0.839
0.819 0.819 0.404
0.868 0.868 0.094
0.905 0.905 0.748
0.197 0.197 0.122
0.238 0.238 0.802
0.480 0.480 0.507

---

PBE-GGA Hf2N2O, optimized geometry; crystal system = tetragonal; calculated volume = 14.09 Å³ per atom
1.0
-3.211 3.211 13.666
3.211 -3.211 13.666
3.211 3.211 -13.666
Hf N O
16 16 8
Direct
0.000 0.000 0.000
0.000 0.000 0.500
0.000 0.500 0.000
0.169 0.667 0.501
0.207 0.457 0.750
0.333 0.334 0.501
0.333 0.831 0.999
0.334 0.333 0.001
0.457 0.207 0.250
0.500 0.000 0.500
0.543 0.793 0.750
0.666 0.667 0.999
0.667 0.169 0.001
0.667 0.666 0.499
0.793 0.543 0.250
0.831 0.333 0.499
0.103 0.587 0.516
0.236 0.749 0.487
0.238 0.251 0.987
0.251 0.238 0.487
0.251 0.764 0.013
0.413 0.429 0.516
0.413 0.897 0.984
0.429 0.413 0.016
0.571 0.587 0.984
0.587 0.103 0.016
0.587 0.571 0.484
0.749 0.236 0.987
0.749 0.762 0.513
0.762 0.749 0.013
0.764 0.251 0.513
0.897 0.413 0.484
0.075 0.118 0.543
0.075 0.533 0.957
0.118 0.075 0.043
0.467 0.925 0.543
0.533 0.075 0.457
0.882 0.925 0.957
0.925 0.467 0.043
0.925 0.882 0.457

---

PBE-GGA Hf6N2O, optimized geometry; energy above the most stable polymorph in this dataset = 0.00 eV per formula unit; crystal system = trigonal; calculated volume = 15.44 Å³ per atom
1.0
5.588 0.000 0.000
-2.794 4.839 0.000
0.000 0.000 5.137
Hf N O
6 2 1
Direct
0.000 0.336 0.255
0.000 0.664 0.745
0.336 0.000 0.255
0.336 0.336 0.745
0.664 0.000 0.745
0.664 0.664 0.255
0.333 0.667 0.500
0.667 0.333 0.500
0.000 0.000 0.000

---

Result set for M_tot: 9.89 6.22 2.73 9.11 9.30 2.74 0.00 0.00 0.00 0.00 Bohr magnetons per cell, one per record in the order listed.
Result set for E_form (uncorrected): -87.0 -141.1 -153.4 -140.4 -141.9 -157.5 -210.1 -208.1 -209.3 -136.3 kJ per mole of atoms, one per record in the order listed.